*one*
# BSbTe3, optimized geometry, DFT PBE
data_BSbTe3
_space_group_name_H-M_alt 'P 1'
_space_group_IT_number 1
_cell_length_a 4.931
_cell_length_b 4.931
_cell_length_c 4.931
_cell_angle_alpha 90.00
_cell_angle_beta 90.00
_cell_angle_gamma 90.00
loop_
_space_group_symop_operation_xyz
'x,y,z'
loop_
_atom_site_label
_atom_site_type_symbol
_atom_site_fract_x
_atom_site_fract_y
_atom_site_fract_z
B1 B 0.000 0.000 0.000
Sb1 Sb 0.500 0.500 0.500
Te1 Te 0.000 0.000 0.500
Te2 Te 0.000 0.500 0.000
Te3 Te 0.500 0.000 0.000
# Symmetry ... Pm-3m (221)



*two*
# BSbTe3, optimized geometry, DFT PBE
data_BSbTe3
_space_group_name_H-M_alt 'P 1'
_space_group_IT_number 1
_cell_length_a 5.758
_cell_length_b 5.758
_cell_length_c 5.758
_cell_angle_alpha 90.00
_cell_angle_beta 90.00
_cell_angle_gamma 90.00
loop_
_space_group_symop_operation_xyz
'x,y,z'
loop_
_atom_site_label
_atom_site_type_symbol
_atom_site_fract_x
_atom_site_fract_y
_atom_site_fract_z
B1 B 0.000 0.000 0.000
Sb1 Sb 0.500 0.500 0.500
Te1 Te 0.000 0.500 0.500
Te2 Te 0.500 0.000 0.500
Te3 Te 0.500 0.500 0.000
# Symmetry ... Pm-3m (221)



Energy above the most stable structure, in meV/atom: *one* 0; *two* 792



*one*
# TlBSb2Te, optimized geometry, DFT PBE
data_TlBSb2Te
_space_group_name_H-M_alt 'P 1'
_space_group_IT_number 1
_cell_length_a 5.687
_cell_length_b 5.687
_cell_length_c 5.842
_cell_angle_alpha 90.00
_cell_angle_beta 90.00
_cell_angle_gamma 90.00
loop_
_space_group_symop_operation_xyz
'x,y,z'
loop_
_atom_site_label
_atom_site_type_symbol
_atom_site_fract_x
_atom_site_fract_y
_atom_site_fract_z
Tl1 Tl 0.000 0.000 0.000
B1 B 0.500 0.500 0.500
Sb1 Sb 0.000 0.500 0.000
Sb2 Sb 0.500 0.000 0.000
Te1 Te 0.000 0.000 0.500
# Symmetry ... P4/mmm (123)



*two*
# TlBSb2Te, optimized geometry, DFT PBE
data_TlBSb2Te
_space_group_name_H-M_alt 'P 1'
_space_group_IT_number 1
_cell_length_a 4.970
_cell_length_b 4.970
_cell_length_c 5.106
_cell_angle_alpha 90.00
_cell_angle_beta 90.00
_cell_angle_gamma 90.00
loop_
_space_group_symop_operation_xyz
'x,y,z'
loop_
_atom_site_label
_atom_site_type_symbol
_atom_site_fract_x
_atom_site_fract_y
_atom_site_fract_z
Tl1 Tl 0.000 0.000 0.000
B1 B 0.500 0.500 0.500
Sb1 Sb 0.000 0.500 0.500
Sb2 Sb 0.500 0.000 0.500
Te1 Te 0.500 0.500 0.000
# Symmetry ... P4/mmm (123)



Energy above the most stable structure, in meV/atom: *one* 1147; *two* 0



*one*
# TlBSbTe2, optimized geometry, DFT PBE
data_TlBSbTe2
_space_group_name_H-M_alt 'P 1'
_space_group_IT_number 1
_cell_length_a 5.125
_cell_length_b 5.125
_cell_length_c 4.879
_cell_angle_alpha 90.00
_cell_angle_beta 90.00
_cell_angle_gamma 90.00
loop_
_space_group_symop_operation_xyz
'x,y,z'
loop_
_atom_site_label
_atom_site_type_symbol
_atom_site_fract_x
_atom_site_fract_y
_atom_site_fract_z
Tl1 Tl 0.000 0.000 0.000
B1 B 0.500 0.500 0.500
Sb1 Sb 0.500 0.500 0.000
Te1 Te 0.000 0.500 0.500
Te2 Te 0.500 0.000 0.500
# Symmetry ... P4/mmm (123)



*two*
# TlBSbTe2, optimized geometry, DFT PBE
data_TlBSbTe2
_space_group_name_H-M_alt 'P 1'
_space_group_IT_number 1
_cell_length_a 5.827
_cell_length_b 5.827
_cell_length_c 5.672
_cell_angle_alpha 90.00
_cell_angle_beta 90.00
_cell_angle_gamma 90.00
loop_
_space_group_symop_operation_xyz
'x,y,z'
loop_
_atom_site_label
_atom_site_type_symbol
_atom_site_fract_x
_atom_site_fract_y
_atom_site_fract_z
Tl1 Tl 0.000 0.000 0.000
B1 B 0.500 0.500 0.500
Sb1 Sb 0.000 0.000 0.500
Te1 Te 0.000 0.500 0.000
Te2 Te 0.500 0.000 0.000
# Symmetry ... P4/mmm (123)



Energy above the most stable structure, in meV/atom: *one* 0; *two* 1095



*one*
# VBSb2Te, optimized geometry, DFT PBE
data_VBSb2Te
_space_group_name_H-M_alt 'P 1'
_space_group_IT_number 1
_cell_length_a 5.104
_cell_length_b 5.104
_cell_length_c 5.142
_cell_angle_alpha 90.00
_cell_angle_beta 90.00
_cell_angle_gamma 90.00
loop_
_space_group_symop_operation_xyz
'x,y,z'
loop_
_atom_site_label
_atom_site_type_symbol
_atom_site_fract_x
_atom_site_fract_y
_atom_site_fract_z
V1 V 0.000 0.000 0.000
B1 B 0.500 0.500 0.500
Sb1 Sb 0.000 0.500 0.000
Sb2 Sb 0.500 0.000 0.000
Te1 Te 0.000 0.000 0.500
# Symmetry ... P4/mmm (123)



*two*
# VBSb2Te, optimized geometry, DFT PBE
data_VBSb2Te
_space_group_name_H-M_alt 'P 1'
_space_group_IT_number 1
_cell_length_a 4.763
_cell_length_b 4.763
_cell_length_c 4.763
_cell_angle_alpha 90.00
_cell_angle_beta 90.00
_cell_angle_gamma 90.00
loop_
_space_group_symop_operation_xyz
'x,y,z'
loop_
_atom_site_label
_atom_site_type_symbol
_atom_site_fract_x
_atom_site_fract_y
_atom_site_fract_z
V1 V 0.000 0.000 0.000
B1 B 0.500 0.500 0.500
Sb1 Sb 0.000 0.500 0.500
Sb2 Sb 0.500 0.000 0.500
Te1 Te 0.500 0.500 0.000
# Symmetry ... P4/mmm (123)



Energy above the most stable structure, in meV/atom: *one* 88; *two* 0



*one*
# VBSbTe2, optimized geometry, DFT PBE
data_VBSbTe2
_space_group_name_H-M_alt 'P 1'
_space_group_IT_number 1
_cell_length_a 5.161
_cell_length_b 5.161
_cell_length_c 5.144
_cell_angle_alpha 90.00
_cell_angle_beta 90.00
_cell_angle_gamma 90.00
loop_
_space_group_symop_operation_xyz
'x,y,z'
loop_
_atom_site_label
_atom_site_type_symbol
_atom_site_fract_x
_atom_site_fract_y
_atom_site_fract_z
V1 V 0.000 0.000 0.000
B1 B 0.500 0.500 0.500
Sb1 Sb 0.000 0.000 0.500
Te1 Te 0.000 0.500 0.000
Te2 Te 0.500 0.000 0.000
# Symmetry ... P4/mmm (123)



*two*
# VBSbTe2, optimized geometry, DFT PBE
data_VBSbTe2
_space_group_name_H-M_alt 'P 1'
_space_group_IT_number 1
_cell_length_a 4.859
_cell_length_b 4.859
_cell_length_c 4.732
_cell_angle_alpha 90.00
_cell_angle_beta 90.00
_cell_angle_gamma 90.00
loop_
_space_group_symop_operation_xyz
'x,y,z'
loop_
_atom_site_label
_atom_site_type_symbol
_atom_site_fract_x
_atom_site_fract_y
_atom_site_fract_z
V1 V 0.000 0.000 0.000
B1 B 0.500 0.500 0.500
Sb1 Sb 0.500 0.500 0.000
Te1 Te 0.000 0.500 0.500
Te2 Te 0.500 0.000 0.500
# Symmetry ... P4/mmm (123)



Energy above the most stable structure, in meV/atom: *one* 269; *two* 0



*one*
# ZnBSbTe2, optimized geometry, DFT PBE
data_ZnBSbTe2
_space_group_name_H-M_alt 'P 1'
_space_group_IT_number 1
_cell_length_a 4.911
_cell_length_b 4.911
_cell_length_c 4.854
_cell_angle_alpha 90.00
_cell_angle_beta 90.00
_cell_angle_gamma 90.00
loop_
_space_group_symop_operation_xyz
'x,y,z'
loop_
_atom_site_label
_atom_site_type_symbol
_atom_site_fract_x
_atom_site_fract_y
_atom_site_fract_z
Zn1 Zn 0.000 0.000 0.000
B1 B 0.500 0.500 0.500
Sb1 Sb 0.500 0.500 0.000
Te1 Te 0.000 0.500 0.500
Te2 Te 0.500 0.000 0.500
# Symmetry ... P4/mmm (123)



*two*
# ZnBSbTe2, optimized geometry, DFT PBE
data_ZnBSbTe2
_space_group_name_H-M_alt 'P 1'
_space_group_IT_number 1
_cell_length_a 5.380
_cell_length_b 5.380
_cell_length_c 5.064
_cell_angle_alpha 90.00
_cell_angle_beta 90.00
_cell_angle_gamma 90.00
loop_
_space_group_symop_operation_xyz
'x,y,z'
loop_
_atom_site_label
_atom_site_type_symbol
_atom_site_fract_x
_atom_site_fract_y
_atom_site_fract_z
Zn1 Zn 0.000 0.000 0.000
B1 B 0.500 0.500 0.500
Sb1 Sb 0.000 0.000 0.500
Te1 Te 0.000 0.500 0.000
Te2 Te 0.500 0.000 0.000
# Symmetry ... P4/mmm (123)



Energy above the most stable structure, in meV/atom: *one* 0; *two* 581



*one*
# ZrBSbTe2, optimized geometry, DFT PBE
data_ZrBSbTe2
_space_group_name_H-M_alt 'P 1'
_space_group_IT_number 1
_cell_length_a 5.570
_cell_length_b 5.570
_cell_length_c 5.608
_cell_angle_alpha 90.00
_cell_angle_beta 90.00
_cell_angle_gamma 90.00
loop_
_space_group_symop_operation_xyz
'x,y,z'
loop_
_atom_site_label
_atom_site_type_symbol
_atom_site_fract_x
_atom_site_fract_y
_atom_site_fract_z
Zr1 Zr 0.000 0.000 0.000
B1 B 0.500 0.500 0.500
Sb1 Sb 0.000 0.000 0.500
Te1 Te 0.000 0.500 0.000
Te2 Te 0.500 0.000 0.000
# Symmetry ... P4/mmm (123)



*two*
# ZrBSbTe2, optimized geometry, DFT PBE
data_ZrBSbTe2
_space_group_name_H-M_alt 'P 1'
_space_group_IT_number 1
_cell_length_a 4.847
_cell_length_b 4.847
_cell_length_c 4.818
_cell_angle_alpha 90.00
_cell_angle_beta 90.00
_cell_angle_gamma 90.00
loop_
_space_group_symop_operation_xyz
'x,y,z'
loop_
_atom_site_label
_atom_site_type_symbol
_atom_site_fract_x
_atom_site_fract_y
_atom_site_fract_z
Zr1 Zr 0.000 0.000 0.000
B1 B 0.500 0.500 0.500
Sb1 Sb 0.500 0.500 0.000
Te1 Te 0.000 0.500 0.500
Te2 Te 0.500 0.000 0.500
# Symmetry ... P4/mmm (123)



Energy above the most stable structure, in meV/atom: *one* 440; *two* 0



*one*
# ZrBSb2Te, optimized geometry, DFT PBE
data_ZrBSb2Te
_space_group_name_H-M_alt 'P 1'
_space_group_IT_number 1
_cell_length_a 4.839
_cell_length_b 4.839
_cell_length_c 4.805
_cell_angle_alpha 90.00
_cell_angle_beta 90.00
_cell_angle_gamma 90.00
loop_
_space_group_symop_operation_xyz
'x,y,z'
loop_
_atom_site_label
_atom_site_type_symbol
_atom_site_fract_x
_atom_site_fract_y
_atom_site_fract_z
Zr1 Zr 0.000 0.000 0.000
B1 B 0.500 0.500 0.500
Sb1 Sb 0.000 0.500 0.500
Sb2 Sb 0.500 0.000 0.500
Te1 Te 0.500 0.500 0.000
# Symmetry ... P4/mmm (123)



*two*
# ZrBSb2Te, optimized geometry, DFT PBE
data_ZrBSb2Te
_space_group_name_H-M_alt 'P 1'
_space_group_IT_number 1
_cell_length_a 5.557
_cell_length_b 5.557
_cell_length_c 5.556
_cell_angle_alpha 90.00
_cell_angle_beta 90.00
_cell_angle_gamma 90.00
loop_
_space_group_symop_operation_xyz
'x,y,z'
loop_
_atom_site_label
_atom_site_type_symbol
_atom_site_fract_x
_atom_site_fract_y
_atom_site_fract_z
Zr1 Zr 0.000 0.000 0.000
B1 B 0.500 0.500 0.500
Sb1 Sb 0.000 0.500 0.000
Sb2 Sb 0.500 0.000 0.000
Te1 Te 0.000 0.000 0.500
# Symmetry ... P4/mmm (123)



Energy above the most stable structure, in meV/atom: *one* 0; *two* 513